The following is a PBE calculation of an optimized crystal structure of NbAl2Cl8, from Alexandria via LeMat-Bulk.

Lattice parameters (Å, degrees): 6.100 7.880 7.880 72.83 84.67 84.67
Atoms (fractional coordinates):
Al 0.356 0.185 0.185
Al 0.644 0.815 0.815
Cl 0.719 0.172 0.172
Cl 0.763 0.724 0.084
Cl 0.763 0.084 0.724
Cl 0.761 0.653 0.653
Cl 0.281 0.828 0.828
Cl 0.239 0.347 0.347
Cl 0.237 0.276 0.916
Cl 0.237 0.916 0.276
Nb 0.000 0.000 0.000

## Properties
- total energy (eV/atom) = -4.24



The following is a PBE calculation of an optimized crystal structure of Nb2AlClO, from Alexandria via LeMat-Bulk.

Lattice parameters (Å, degrees): 4.110 5.270 4.110 90.00 90.00 90.00
Atoms (fractional coordinates):
Cl 0.000 0.500 0.000
Nb 0.000 0.000 0.500
Nb 0.500 0.000 0.000
Al 0.500 0.500 0.500
O 0.000 0.000 0.000

## Properties
- total energy (eV/atom) = -6.38



The following is a PBE calculation of an optimized crystal structure of NbAlP2Cl, from Alexandria via LeMat-Bulk.

Lattice parameters (Å, degrees): 4.841 4.841 5.014 90.00 90.00 90.00
Atoms (fractional coordinates):
P 0.500 0.000 0.000
P 0.000 0.500 0.000
Al 0.500 0.500 0.500
Nb 0.000 0.000 0.000
Cl 0.000 0.000 0.500

## Properties
- total energy (eV/atom) = -5.18



The following is a PBE calculation of an optimized crystal structure of NbAlP2Cl, from Alexandria via LeMat-Bulk.

Lattice parameters (Å, degrees): 4.635 4.635 4.549 90.00 90.00 90.00
Atoms (fractional coordinates):
Nb 0.500 0.500 0.500
Cl 0.000 0.000 0.500
P 0.000 0.500 0.000
P 0.500 0.000 0.000
Al 0.000 0.000 0.000

## Properties
- total energy (eV/atom) = -4.78



The following is a PBE calculation of an optimized crystal structure of NbAlRe2Cl, from Alexandria via LeMat-Bulk.

Lattice parameters (Å, degrees): 4.553 4.972 4.553 90.00 90.00 90.00
Atoms (fractional coordinates):
Re 0.500 0.000 0.000
Re 0.000 0.000 0.500
Al 0.000 0.000 0.000
Cl 0.500 0.500 0.500
Nb 0.000 0.500 0.000

## Properties
- total energy (eV/atom) = -6.11



The following is a PBE calculation of an optimized crystal structure of NbAlRh2Cl, from Alexandria via LeMat-Bulk.

Lattice parameters (Å, degrees): 4.694 5.428 4.694 90.00 90.00 90.00
Atoms (fractional coordinates):
Cl 0.500 0.500 0.500
Rh 0.500 0.000 0.000
Rh 0.000 0.000 0.500
Nb 0.000 0.000 0.000
Al 0.000 0.500 0.000

## Properties
- total energy (eV/atom) = -5.15



The following is a PBE calculation of an optimized crystal structure of NbAl2RuCl, from Alexandria via LeMat-Bulk.

Lattice parameters (Å, degrees): 4.480 4.448 4.480 90.00 90.00 90.00
Atoms (fractional coordinates):
Cl 0.000 0.000 0.000
Al 0.000 0.000 0.500
Al 0.500 0.000 0.000
Ru 0.500 0.500 0.500
Nb 0.000 0.500 0.000

## Properties
- total energy (eV/atom) = -4.80



The following is a PBE calculation of an optimized crystal structure of NbAlSCl2, from Alexandria via LeMat-Bulk.

Lattice parameters (Å, degrees): 4.641 4.641 4.814 90.00 90.00 90.00
Atoms (fractional coordinates):
S 0.000 0.000 0.500
Cl 0.000 0.500 0.000
Cl 0.500 0.000 0.000
Nb 0.500 0.500 0.500
Al 0.000 0.000 0.000

## Properties
- total energy (eV/atom) = -4.31



Listing theoretical density for the structures above in their given order: 2.0; 4.9; 3.1; 3.7; 8.5; 5.0; 5.3; 3.6 g/cm³.
Listing energy relative to the elements, uncorrected for the structures above in their given order: -1302; -245; 117; 519; 2001; 922; 935; 16 meV per atom.